A geometry-optimized AcFePIr6 structure, computed with PBE-GGA.

Cell: 8.076 8.076 8.076 Å, 136.38 109.21 86.97°
Sites, in units of the cell vectors:
Ac1 0.424 0.174 0.250
Ac2 0.576 0.826 0.750
Fe1 0.000 0.000 0.500
Fe2 0.000 0.500 0.000
P1 0.000 0.500 0.500
P2 0.500 0.500 0.000
Ir1 0.110 0.372 0.214
Ir2 0.110 0.896 0.738
Ir3 0.162 0.912 0.250
Ir4 0.316 0.566 0.750
Ir5 0.342 0.104 0.714
Ir6 0.342 0.628 0.238
Ir7 0.658 0.372 0.762
Ir8 0.658 0.896 0.286
Ir9 0.684 0.434 0.250
Ir10 0.838 0.088 0.750
Ir11 0.890 0.104 0.262
Ir12 0.890 0.628 0.786

Total moment, μB per formula unit: 3.14
Energy relative to the elements, kJ per mole of atoms: 17
Energy, Ry per atom: -0.568